{"formula": "Dy5ScCu6", "functional": "PBE", "state": "optimized geometry", "formation_energy_ev_per_atom": -0.25, "crystal_system": "monoclinic", "total_magnetization_mub_per_cell": 0.0, "total_energy_ev_per_atom": -4.74, "cell": [[-1.1746, -3.9266, 2.6289], [5.5836, -3.1761, -2.2489], [6.0038, -0.8928, 5.8663]], "species": ["Cu", "Sc", "Cu", "Cu", "Cu", "Cu", "Cu", "Dy", "Dy", "Dy", "Dy", "Dy"], "frac_coords": [[0.8399, 0.0796, 0.3225], [0.0000, 0.0000, 0.0000], [0.5002, 0.7659, 0.0001], [0.1601, 0.9204, 0.6775], [0.8395, 0.5976, 0.3231], [0.1605, 0.4024, 0.6769], [0.4998, 0.2341, 0.9999], [0.6663, 0.1667, 0.6665], [0.0000, 0.5000, 0.0000], [0.3342, 0.3337, 0.3325], [0.3337, 0.8333, 0.3335], [0.6658, 0.6663, 0.6675]]}